(1)
A PBEsol-optimized structure of SiTc3Sn, computed with meta-GGA SCAN.

Cell: 4.394 4.394 4.394 Å, 90.00 90.00 90.00°
Space group Pm-3m (No. 221)
Asymmetric unit:
Si 0.000 0.000 0.000 [1 per cell]
Tc 0.000 0.000 0.500 [3 per cell]
Sn 0.500 0.500 0.500 [1 per cell]

Summary:
Crystal system: cubic
Formation energy (no corrections) in eV per formula unit: 3.05
DFT total energy in eV per atom: -29.61



(2)
A PBEsol-optimized structure of SiTcSn3, computed with meta-GGA SCAN.

Cell: 5.046 5.046 5.046 Å, 90.00 90.00 90.00°
Space group Pm-3m (No. 221)
Asymmetric unit:
Si 0.000 0.000 0.000 [1 per cell]
Tc 0.500 0.500 0.500 [1 per cell]
Sn 0.000 0.000 0.500 [3 per cell]

Summary:
Crystal system: cubic
Formation energy (no corrections) in eV per formula unit: 6.45
DFT total energy in eV per atom: -29.28



(3)
A PBEsol-optimized structure of Si2Sn2Te, computed with meta-GGA SCAN.

Cell: 3.694 3.694 16.798 Å, 90.00 90.00 90.00°
Space group I4/mmm (No. 139)
Asymmetric unit:
Si 0.000 0.500 0.250 [4 per cell]
Sn 0.000 0.000 0.113 [4 per cell]
Te 0.000 0.000 0.500 [2 per cell]

Summary:
Crystal system: tetragonal
Formation energy (no corrections) in eV per formula unit: 1.79
DFT total energy in eV per atom: -25.47